DFT (PBE) results for crystalline Na4Er3ThS8 at its relaxed geometry.

Lattice parameters (Å, degrees): 7.9421 7.9421 20.1206 90.00 90.00 120.00
Space group R-3m (No. 166, hexagonal axes)
One atom of each set of equivalent atoms:
Na (0.0000, 0.0000, 0.0000) x3
Na (0.0000, 0.5000, 0.0000) x9
Er (0.0000, 0.5000, 0.5000) x9
Th (0.0000, 0.0000, 0.5000) x3
S (0.0000, 0.0000, 0.2417) x6
S (0.0057, 0.5029, 0.7564) x18

As for the density: 4.91 g/cm³. The calculation puts the density of states at the Fermi level at 12.61 states/eV/cell. The calculation puts the total magnetization at 0.00 μB per atom.

***

DFT (PBE) results for crystalline Na2ErThS4 at its relaxed geometry.

Lattice parameters (Å, degrees): 6.9358 3.9709 7.1376 90.00 108.55 90.00
Space group P2/m (No. 10)
One atom of each set of equivalent atoms:
Na (0.0000, 0.0000, 0.0000) x1
Na (0.5000, 0.5000, 0.0000) x1
Er (0.0000, 0.5000, 0.5000) x1
Th (0.5000, 0.0000, 0.5000) x1
S (0.2372, 0.0000, 0.7290) x2
S (0.2450, 0.5000, 0.2619) x2

As for the density: 5.11 g/cm³. The calculation puts the density of states at the Fermi level at 3.92 states/eV/cell. The calculation puts the total magnetization at 0.00 μB per atom.

***

DFT (PBE) results for crystalline Na2ErTiS4 at its relaxed geometry.

Lattice parameters (Å, degrees): 6.5533 3.7681 7.0235 90.00 108.08 90.00
Space group P2/m (No. 10)
One atom of each set of equivalent atoms:
Na (0.0000, 0.0000, 0.0000) x1
Na (0.5000, 0.5000, 0.0000) x1
Er (0.0000, 0.5000, 0.5000) x1
Ti (0.5000, 0.0000, 0.5000) x1
S (0.2580, 0.0000, 0.7225) x2
S (0.2780, 0.5000, 0.2867) x2

As for the density: 3.92 g/cm³. The calculation puts the density of states at the Fermi level at 3.54 states/eV/cell. The calculation puts the total magnetization at 0.13 μB per atom.

***

DFT (PBE) results for crystalline Na3Er3TiS8 at its relaxed geometry.

Lattice parameters (Å, degrees): 7.7112 7.7112 20.2538 90.00 90.00 120.00
Space group R-3m (No. 166, hexagonal axes)
One atom of each set of equivalent atoms:
Na (0.0000, 0.5000, 0.0000) x9
Er (0.0000, 0.5000, 0.5000) x9
Ti (0.0000, 0.0000, 0.5000) x3
S (0.0000, 0.0000, 0.2422) x6
S (0.0256, 0.5128, 0.2368) x18

As for the density: 4.18 g/cm³. The calculation puts the total magnetization at 0.00 μB per atom.

***

So what do the calculations give for formation energy (no corrections)? Going down the list: -172.3, -166.2, -150.1, -165.3 kJ per mole of atoms.